Record 1
Below is Tl2CdAs after structural relaxation, with properties calculated at the PBE level.

Unit cell a=3.265 b=3.265 c=10.460 alpha=90.00 beta=90.00 gamma=92.81
Positions (direct):
Tl  0.000  0.000  0.029
Tl  0.000  0.000  0.471
As  0.500  0.500  0.250
Cd  0.500  0.500  0.750

Values from the calculation:
raw total energy	-0.0902	hartree per atom
total moment	0.00	μB/f.u.
energy of formation from the pure elements	120	meV/atom

=====

Record 2
Below is TlCdAs2 after structural relaxation, with properties calculated at the PBE level.

Unit cell a=3.310 b=3.310 c=9.986 alpha=90.00 beta=90.00 gamma=115.22
Positions (direct):
Tl  0.500  0.500  0.759
As  0.000  0.000  0.041
As  0.500  0.500  0.221
Cd  0.000  0.000  0.479

Values from the calculation:
raw total energy	-0.1068	hartree per atom
total moment	0.00	μB/f.u.
energy of formation from the pure elements	238	meV/atom

=====

Record 3
Below is Tl2Cd2As after structural relaxation, with properties calculated at the PBE level.

Unit cell a=3.948 b=3.948 c=9.764 alpha=78.33 beta=78.33 gamma=90.00
Positions (direct):
Tl  0.411  0.411  0.177
Tl  0.589  0.589  0.823
As  0.000  0.000  0.000
Cd  0.750  0.250  0.500
Cd  0.250  0.750  0.500

Values from the calculation:
raw total energy	-0.0754	hartree per atom
total moment	0.00	μB/f.u.
energy of formation from the pure elements	191	meV/atom

=====

Record 4
Below is Tl2CdAs after structural relaxation, with properties calculated at the PBE level.

Unit cell a=6.105 b=6.105 c=6.105 alpha=136.69 beta=136.69 gamma=62.92
Positions (direct):
Tl  0.000  0.000  0.000
Tl  0.500  0.500  0.000
As  0.250  0.750  0.500
Cd  0.750  0.250  0.500

Values from the calculation:
raw total energy	-0.0894	hartree per atom
total moment	0.00	μB/f.u.
energy of formation from the pure elements	140	meV/atom

=====

E above lowest polymorph list, top to bottom, in meV per atom: 68.0 188.1 143.0 88.3